[1]
Entry from Alexandria: crystalline Dy3ErTm6Pu2 at its relaxed geometry (PBE).

- ΔH_f (0 K) (eV/atom) = 0.07

Cell lengths 6.032, 10.444, 11.537 Å; angles 90.00, 99.98, 90.00 degrees
Space group C2/m (No. 12)
Symmetry-distinct sites (fractional):
Dy (0.000, 0.000, 0.000) (multiplicity 2)
Dy (0.000, 0.334, 0.000) (multiplicity 4)
Er (0.000, 0.500, 0.500) (multiplicity 2)
Tm (0.245, 0.000, 0.747) (multiplicity 4)
Tm (0.249, 0.169, 0.253) (multiplicity 8)
Pu (0.000, 0.167, 0.500) (multiplicity 4)


[2]
Entry from Alexandria: crystalline SiPRh2 at its relaxed geometry (PBE).

- formation energy (no corrections) (meV per atom) = -446.9

Cell lengths 4.063, 2.904, 5.025 Å; angles 90.00, 113.36, 90.00 degrees
Space group P2/m (No. 10)
Symmetry-distinct sites (fractional):
Si (0.000, 0.000, 0.000) (multiplicity 1)
P (0.500, 0.500, 0.500) (multiplicity 1)
Rh (0.000, 0.000, 0.500) (multiplicity 1)
Rh (0.500, 0.500, 0.000) (multiplicity 1)


[3]
Entry from Alexandria: crystalline YSe2N2 at its relaxed geometry (PBE).

- formation energy (no corrections) (meV per atom) = 1294.8

Cell lengths 5.600, 5.600, 4.677 Å; angles 90.00, 90.00, 90.00 degrees
Space group P4/mmm (No. 123)
Symmetry-distinct sites (fractional):
Y (0.000, 0.000, 0.000) (multiplicity 1)
Se (0.000, 0.500, 0.000) (multiplicity 2)
N (0.000, 0.000, 0.500) (multiplicity 1)
N (0.500, 0.500, 0.500) (multiplicity 1)


[4]
Entry from Alexandria: crystalline TmBe3Au10 at its relaxed geometry (PBE).

- ΔH_f (0 K) (eV/atom) = -0.27

Cell lengths 12.387, 12.387, 12.387 Å; angles 90.00, 90.00, 90.00 degrees
Space group Fm-3m (No. 225)
Symmetry-distinct sites (fractional):
Tm (0.250, 0.250, 0.250) (multiplicity 8)
Be (0.000, 0.000, 0.235) (multiplicity 24)
Au (0.000, 0.169, 0.331) (multiplicity 48)
Au (0.115, 0.115, 0.115) (multiplicity 32)


[5]
Entry from Alexandria: crystalline MnBeCoRu at its relaxed geometry (PBE).

- ΔH_f (0 K) (eV/atom) = -0.13

Cell lengths 5.616, 5.616, 5.616 Å; angles 90.00, 90.00, 90.00 degrees
Space group F-43m (No. 216)
Symmetry-distinct sites (fractional):
Mn (0.000, 0.000, 0.000) (multiplicity 4)
Be (0.000, 0.000, 0.500) (multiplicity 4)
Co (0.250, 0.250, 0.750) (multiplicity 4)
Ru (0.250, 0.250, 0.250) (multiplicity 4)


[6]
Entry from Alexandria: crystalline CuH4Br at its relaxed geometry (PBE).

- final energy (eV/atom) = -3.1376

Cell lengths 4.773, 5.984, 7.496 Å; angles 90.01, 104.66, 107.88 degrees
Space group P-1 (No. 2)
Symmetry-distinct sites (fractional):
Cu (0.245, 0.483, 0.011) (multiplicity 2)
H (0.061, 0.557, 0.521) (multiplicity 2)
H (0.107, 0.653, 0.115) (multiplicity 2)
H (0.173, 0.918, 0.202) (multiplicity 2)
H (0.408, 0.362, 0.897) (multiplicity 2)
Br (0.230, 0.147, 0.300) (multiplicity 2)


no.,total magnetization (Bohr magnetons per cell)
1,24.44
2,0.00
3,6.44
4,0.00
5,8.22
6,0.00